{
  "formula": "NdSbIr",
  "functional": "PBE",
  "state": "optimized geometry",
  "density_g_cm3": 10.49,
  "space_group": "Pnma",
  "crystal_system": "orthorhombic",
  "final_energy_ev_per_cell": -79.4,
  "vol_a3_per_cell": 290.1,
  "magmom_total_mub_per_fu": 0.00,
  "lattice_angstrom": [[5.981, 0.000, 0.000], [0.000, 4.431, 0.000], [0.000, 0.000, 10.947]],
  "species": ["Nd", "Nd", "Nd", "Nd", "Sb", "Sb", "Sb", "Sb", "Ir", "Ir", "Ir", "Ir"],
  "fractional_positions": [[0.141, 0.250, 0.130], [0.359, 0.750, 0.630], [0.641, 0.250, 0.370], [0.859, 0.750, 0.870], [0.225, 0.750, 0.342], [0.275, 0.250, 0.842], [0.725, 0.750, 0.158], [0.775, 0.250, 0.658], [0.107, 0.250, 0.455], [0.393, 0.750, 0.955], [0.607, 0.250, 0.045], [0.893, 0.750, 0.545]]
}

{
  "formula": "NdSbIr",
  "functional": "PBE",
  "state": "optimized geometry",
  "density_g_cm3": 11.18,
  "space_group": "Pnma",
  "crystal_system": "orthorhombic",
  "final_energy_ev_per_cell": -81.3,
  "vol_a3_per_cell": 272.2,
  "magmom_total_mub_per_fu": 0.00,
  "lattice_angstrom": [[7.404, 0.000, 0.000], [0.000, 4.600, 0.000], [0.000, 0.000, 7.993]],
  "species": ["Nd", "Nd", "Nd", "Nd", "Sb", "Sb", "Sb", "Sb", "Ir", "Ir", "Ir", "Ir"],
  "fractional_positions": [[0.014, 0.250, 0.192], [0.486, 0.750, 0.692], [0.514, 0.250, 0.308], [0.986, 0.750, 0.808], [0.177, 0.250, 0.586], [0.323, 0.750, 0.086], [0.677, 0.250, 0.914], [0.823, 0.750, 0.414], [0.203, 0.750, 0.410], [0.297, 0.250, 0.910], [0.703, 0.750, 0.090], [0.797, 0.250, 0.590]]
}

{
  "formula": "NdSbIr",
  "functional": "PBE",
  "state": "optimized geometry",
  "density_g_cm3": 11.10,
  "space_group": "P-62m",
  "crystal_system": "hexagonal",
  "final_energy_ev_per_cell": -54.3,
  "vol_a3_per_cell": 205.6,
  "magmom_total_mub_per_fu": 0.00,
  "lattice_angstrom": [[8.435, 0.000, 0.000], [-4.217, 7.305, 0.000], [0.000, 0.000, 3.337]],
  "species": ["Nd", "Nd", "Nd", "Sb", "Sb", "Sb", "Ir", "Ir", "Ir"],
  "fractional_positions": [[0.000, 0.301, 0.000], [0.301, 0.000, 0.000], [0.699, 0.699, 0.000], [0.000, 0.000, 0.500], [0.333, 0.667, 0.000], [0.667, 0.333, 0.000], [0.000, 0.653, 0.500], [0.347, 0.347, 0.500], [0.653, 0.000, 0.500]]
}

{
  "formula": "NdSbIr",
  "functional": "PBE",
  "state": "optimized geometry",
  "density_g_cm3": 11.22,
  "space_group": "P-62m",
  "crystal_system": "hexagonal",
  "final_energy_ev_per_cell": -60.4,
  "vol_a3_per_cell": 203.5,
  "magmom_total_mub_per_fu": 0.00,
  "lattice_angstrom": [[7.538, 0.000, 0.000], [-3.769, 6.528, 0.000], [0.000, 0.000, 4.135]],
  "species": ["Nd", "Nd", "Nd", "Sb", "Sb", "Sb", "Ir", "Ir", "Ir"],
  "fractional_positions": [[0.000, 0.597, 0.000], [0.403, 0.403, 0.000], [0.597, 0.000, 0.000], [0.000, 0.262, 0.500], [0.262, 0.000, 0.500], [0.738, 0.738, 0.500], [0.000, 0.000, 0.000], [0.333, 0.667, 0.500], [0.667, 0.333, 0.500]]
}

{
  "formula": "NdSnSbIr2",
  "functional": "PBE",
  "state": "optimized geometry",
  "density_g_cm3": 11.78,
  "space_group": "P4/nmm",
  "crystal_system": "tetragonal",
  "final_energy_ev_per_cell": -67.2,
  "vol_a3_per_cell": 216.9,
  "magmom_total_mub_per_fu": 0.00,
  "lattice_angstrom": [[4.418, 0.000, 0.000], [0.000, 4.418, 0.000], [0.000, 0.000, 11.115]],
  "species": ["Nd", "Nd", "Sn", "Sn", "Sb", "Sb", "Ir", "Ir", "Ir", "Ir"],
  "fractional_positions": [[0.250, 0.250, 0.249], [0.750, 0.750, 0.751], [0.250, 0.750, 0.500], [0.750, 0.250, 0.500], [0.250, 0.250, 0.865], [0.750, 0.750, 0.135], [0.250, 0.250, 0.636], [0.250, 0.750, 0.000], [0.750, 0.250, 0.000], [0.750, 0.750, 0.364]]
}

{
  "formula": "NdScIr",
  "functional": "PBE",
  "state": "optimized geometry",
  "density_g_cm3": 9.23,
  "space_group": "F-43m",
  "crystal_system": "cubic",
  "final_energy_ev_per_cell": -19.9,
  "vol_a3_per_cell": 68.7,
  "magmom_total_mub_per_fu": 0.00,
  "relative_energy_kj_per_mol_fu": 0,
  "lattice_angstrom": [[0.000, 3.250, 3.250], [3.250, 0.000, 3.250], [3.250, 3.250, 0.000]],
  "species": ["Nd", "Sc", "Ir"],
  "fractional_positions": [[0.000, 0.000, 0.000], [0.750, 0.750, 0.750], [0.500, 0.500, 0.500]]
}

{
  "formula": "NdScIr",
  "functional": "PBE",
  "state": "optimized geometry",
  "density_g_cm3": 8.76,
  "space_group": "F-43m",
  "crystal_system": "cubic",
  "final_energy_ev_per_cell": -19.0,
  "vol_a3_per_cell": 72.3,
  "magmom_total_mub_per_fu": 0.01,
  "relative_energy_kj_per_mol_fu": 87,
  "lattice_angstrom": [[0.000, 3.307, 3.307], [3.307, 0.000, 3.307], [3.307, 3.307, 0.000]],
  "species": ["Nd", "Sc", "Ir"],
  "fractional_positions": [[0.000, 0.000, 0.000], [0.250, 0.250, 0.250], [0.750, 0.750, 0.750]]
}

{
  "formula": "Nd3Sc3Te2Ir",
  "functional": "PBE",
  "state": "optimized geometry",
  "density_g_cm3": 7.23,
  "space_group": "P-62m",
  "crystal_system": "hexagonal",
  "final_energy_ev_per_cell": -56.5,
  "vol_a3_per_cell": 233.1,
  "magmom_total_mub_per_fu": 0.73,
  "relative_energy_kj_per_mol_fu": 0,
  "lattice_angstrom": [[8.129, 0.000, 0.000], [-4.064, 7.039, 0.000], [0.000, 0.000, 4.073]],
  "species": ["Nd", "Nd", "Nd", "Sc", "Sc", "Sc", "Te", "Te", "Ir"],
  "fractional_positions": [[0.000, 0.396, 0.000], [0.396, 0.000, 0.000], [0.604, 0.604, 0.000], [0.000, 0.773, 0.500], [0.227, 0.227, 0.500], [0.773, 0.000, 0.500], [0.333, 0.667, 0.500], [0.667, 0.333, 0.500], [0.000, 0.000, 0.000]]
}

{
  "formula": "Nd3Sc3Te2Ir",
  "functional": "PBE",
  "state": "optimized geometry",
  "density_g_cm3": 7.18,
  "space_group": "P-62m",
  "crystal_system": "hexagonal",
  "final_energy_ev_per_cell": -54.3,
  "vol_a3_per_cell": 234.8,
  "magmom_total_mub_per_fu": 0.08,
  "relative_energy_kj_per_mol_fu": 214,
  "lattice_angstrom": [[8.404, 0.000, 0.000], [-4.202, 7.278, 0.000], [0.000, 0.000, 3.838]],
  "species": ["Nd", "Nd", "Nd", "Sc", "Sc", "Sc", "Te", "Te", "Ir"],
  "fractional_positions": [[0.000, 0.747, 0.000], [0.253, 0.253, 0.000], [0.747, 0.000, 0.000], [0.000, 0.398, 0.500], [0.398, 0.000, 0.500], [0.602, 0.602, 0.500], [0.333, 0.667, 0.000], [0.667, 0.333, 0.000], [0.000, 0.000, 0.500]]
}

{
  "formula": "Nd7Ir2Se2",
  "functional": "PBE",
  "state": "optimized geometry",
  "density_g_cm3": 8.47,
  "space_group": "Imm2",
  "crystal_system": "orthorhombic",
  "final_energy_ev_per_cell": -68.4,
  "vol_a3_per_cell": 304.1,
  "magmom_total_mub_per_fu": 0.01,
  "lattice_angstrom": [[-2.006, 7.948, 4.768], [2.006, -7.948, 4.768], [2.006, 7.948, -4.768]],
  "species": ["Nd", "Nd", "Nd", "Nd", "Nd", "Nd", "Nd", "Ir", "Ir", "Se", "Se"],
  "fractional_positions": [[0.000, 0.000, 0.000], [0.291, 0.413, 0.877], [0.300, 0.620, 0.680], [0.536, 0.413, 0.123], [0.613, 0.255, 0.358], [0.897, 0.255, 0.642], [0.939, 0.620, 0.320], [0.165, 0.924, 0.241], [0.683, 0.924, 0.759], [0.256, 0.756, 0.500], [0.668, 0.668, 0.000]]
}

{
  "formula": "Nd2Si3Ir",
  "functional": "PBE",
  "state": "optimized geometry",
  "density_g_cm3": 7.49,
  "space_group": "Fmmm",
  "crystal_system": "orthorhombic",
  "final_energy_ev_per_cell": -79.9,
  "vol_a3_per_cell": 250.5,
  "magmom_total_mub_per_fu": 0.00,
  "lattice_angstrom": [[0.000, 4.244, 7.136], [4.136, 0.000, 7.136], [4.136, 4.244, 0.000]],
  "species": ["Nd", "Nd", "Nd", "Nd", "Si", "Si", "Si", "Si", "Si", "Si", "Ir", "Ir"],
  "fractional_positions": [[0.249, 0.751, 0.249], [0.250, 0.250, 0.250], [0.750, 0.750, 0.750], [0.751, 0.249, 0.751], [0.166, 0.666, 0.834], [0.333, 0.333, 0.667], [0.334, 0.834, 0.666], [0.666, 0.166, 0.334], [0.667, 0.667, 0.333], [0.834, 0.334, 0.166], [0.166, 0.166, 0.834], [0.834, 0.834, 0.166]]
}

{
  "formula": "NdSi2Ir2",
  "functional": "PBE",
  "state": "optimized geometry",
  "density_g_cm3": 10.80,
  "space_group": "I4mm",
  "crystal_system": "tetragonal",
  "final_energy_ev_per_cell": -37.7,
  "vol_a3_per_cell": 89.9,
  "magmom_total_mub_per_fu": 0.01,
  "lattice_angstrom": [[-2.123, 2.123, 4.986], [2.123, -2.123, 4.986], [2.123, 2.123, -4.986]],
  "species": ["Nd", "Si", "Si", "Ir", "Ir"],
  "fractional_positions": [[0.000, 0.000, 0.000], [0.249, 0.749, 0.500], [0.749, 0.249, 0.500], [0.367, 0.367, 0.000], [0.632, 0.632, 0.000]]
}